Record 1
# ScTl2Zn2 | the Alexandria database | PBE-GGA | relaxed
data_ScTl2Zn2
_chemical_formula_sum 'Sc2 Tl4 Zn4'
_symmetry_space_group_name_H-M 'P 4/m b m'
_symmetry_Int_Tables_number 127
_symmetry_space_group_name_Hall '-P 4 2ab'
_cell_length_a 7.560
_cell_length_b 7.560
_cell_length_c 3.849
_cell_angle_alpha 90.00
_cell_angle_beta 90.00
_cell_angle_gamma 90.00
loop_
_atom_site_label
_atom_site_type_symbol
_atom_site_fract_x
_atom_site_fract_y
_atom_site_fract_z
Sc1 Sc 0.000 0.000 0.000
Tl1 Tl 0.182 0.318 0.500
Zn1 Zn 0.120 0.620 0.000
# Relative energy among the computed polymorphs: 0.0 meV/atom

Record 2
# YTa2Cd | the Alexandria database | PBE-GGA | relaxed
data_YTa2Cd
_chemical_formula_sum 'Y2 Ta4 Cd2'
_symmetry_space_group_name_H-M 'C m m m'
_symmetry_Int_Tables_number 65
_symmetry_space_group_name_Hall '-C 2 2'
_cell_length_a 5.950
_cell_length_b 9.794
_cell_length_c 2.930
_cell_angle_alpha 90.00
_cell_angle_beta 90.00
_cell_angle_gamma 90.00
loop_
_atom_site_label
_atom_site_type_symbol
_atom_site_fract_x
_atom_site_fract_y
_atom_site_fract_z
Y1 Y 0.000 0.000 0.000
Ta1 Ta 0.250 0.250 0.500
Cd1 Cd 0.000 0.500 0.000
# DFT total energy: -7.296 eV/atom

Record 3
# La11Ga9Rh4 | the Alexandria database | PBE-GGA | relaxed
data_La11Ga9Rh4
_chemical_formula_sum 'La22 Ga18 Rh8'
_symmetry_space_group_name_H-M 'C m m m'
_symmetry_Int_Tables_number 65
_symmetry_space_group_name_Hall '-C 2 2'
_cell_length_a 14.318
_cell_length_b 21.493
_cell_length_c 3.878
_cell_angle_alpha 90.00
_cell_angle_beta 90.00
_cell_angle_gamma 90.00
loop_
_atom_site_label
_atom_site_type_symbol
_atom_site_fract_x
_atom_site_fract_y
_atom_site_fract_z
La1 La 0.000 0.000 0.000
La2 La 0.000 0.166 0.000
La3 La 0.000 0.374 0.000
La4 La 0.193 0.500 0.000
La5 La 0.240 0.174 0.000
Ga1 Ga 0.000 0.500 0.500
Ga2 Ga 0.098 0.268 0.500
Ga3 Ga 0.149 0.069 0.500
Rh1 Rh 0.159 0.397 0.500
# DFT total energy: -5.296 eV/atom

Record 4
# Nb2ZnCu2 | the Alexandria database | PBE-GGA | relaxed
data_Nb2ZnCu2
_chemical_formula_sum 'Nb4 Zn2 Cu4'
_symmetry_space_group_name_H-M 'P 4/m b m'
_symmetry_Int_Tables_number 127
_symmetry_space_group_name_Hall '-P 4 2ab'
_cell_length_a 6.452
_cell_length_b 6.452
_cell_length_c 3.688
_cell_angle_alpha 90.00
_cell_angle_beta 90.00
_cell_angle_gamma 90.00
loop_
_atom_site_label
_atom_site_type_symbol
_atom_site_fract_x
_atom_site_fract_y
_atom_site_fract_z
Nb1 Nb 0.169 0.331 0.000
Zn1 Zn 0.000 0.000 0.500
Cu1 Cu 0.133 0.633 0.500
# DFT total energy: -5.780 eV/atom